No. 1
The following is a GGA-PBE calculation of ZrNbNO after structural relaxation, from OQMD via LeMat-Bulk.

a = 3.6271 Å, b = 3.6271 Å, c = 7.6835 Å
α = 90.00°, β = 90.00°, γ = 90.00°
Element x y z (fractional)
Zr 0.2500 0.2500 0.1550
Zr 0.7500 0.7500 0.8450
Nb 0.2500 0.7500 0.5000
Nb 0.7500 0.2500 0.5000
N 0.2500 0.2500 0.6917
N 0.7500 0.7500 0.3083
O 0.2500 0.7500 0.0000
O 0.7500 0.2500 0.0000

Output
Final energy = -9.29 eV per atom
Space group = P4/nmm (129)
Calculated volume = 50.5 Å³/f.u.
Calculated density = 7036 kg/m³

---

No. 2
The following is a GGA-PBE calculation of Nb2PN after structural relaxation, from OQMD via LeMat-Bulk.

a = 3.2247 Å, b = 3.2247 Å, c = 11.9057 Å
α = 90.00°, β = 90.00°, γ = 120.00°
Element x y z (fractional)
Nb 0.3333 0.6667 0.1030
Nb 0.3333 0.6667 0.3970
Nb 0.6667 0.3333 0.6030
Nb 0.6667 0.3333 0.8970
P 0.3333 0.6667 0.7500
P 0.6667 0.3333 0.2500
N 0.0000 0.0000 0.0000
N 0.0000 0.0000 0.5000

Output
Final energy = -9.31 eV per atom
Space group = P6_3/mmc (194)
Calculated volume = 53.6 Å³/f.u.
Calculated density = 7149 kg/m³

---

No. 3
The following is a GGA-PBE calculation of Nb4PN3 after structural relaxation, from OQMD via LeMat-Bulk.

a = 3.1680 Å, b = 3.1680 Å, c = 22.3217 Å
α = 90.00°, β = 90.00°, γ = 120.00°
Element x y z (fractional)
Nb 0.0000 0.0000 0.1719
Nb 0.0000 0.0000 0.3281
Nb 0.0000 0.0000 0.6719
Nb 0.0000 0.0000 0.8281
Nb 0.3333 0.6667 0.0549
Nb 0.3333 0.6667 0.4451
Nb 0.6667 0.3333 0.5549
Nb 0.6667 0.3333 0.9451
P 0.3333 0.6667 0.2500
P 0.6667 0.3333 0.7500
N 0.0000 0.0000 0.0000
N 0.0000 0.0000 0.5000
N 0.3333 0.6667 0.6131
N 0.3333 0.6667 0.8869
N 0.6667 0.3333 0.1131
N 0.6667 0.3333 0.3869

Output
Final energy = -9.69 eV per atom
Space group = P6_3/mmc (194)
Calculated volume = 97.0 Å³/f.u.
Calculated density = 7611 kg/m³

---

No. 4
The following is a GGA-PBE calculation of Nb2PN after structural relaxation, from OQMD via LeMat-Bulk.

a = 3.2581 Å, b = 3.2581 Å, c = 11.7592 Å
α = 90.00°, β = 90.00°, γ = 120.00°
Element x y z (fractional)
Nb 0.3333 0.6667 0.0999
Nb 0.3333 0.6667 0.4001
Nb 0.6667 0.3333 0.5999
Nb 0.6667 0.3333 0.9001
P 0.3333 0.6667 0.7500
P 0.6667 0.3333 0.2500
N 0.0000 0.0000 0.0000
N 0.0000 0.0000 0.5000

Output
Final energy = -9.31 eV per atom
Space group = P6_3/mmc (194)
Calculated volume = 54.0 Å³/f.u.
Calculated density = 7093 kg/m³

---

No. 5
The following is a GGA-PBE calculation of Nb4PSN2 after structural relaxation, from OQMD via LeMat-Bulk.

a = 3.1792 Å, b = 3.1792 Å, c = 12.1925 Å
α = 90.00°, β = 90.00°, γ = 120.00°
Element x y z (fractional)
Nb 0.0000 0.0000 0.1436
Nb 0.0000 0.0000 0.8564
Nb 0.6667 0.3333 0.3536
Nb 0.6667 0.3333 0.6464
P 0.6667 0.3333 0.0000
S 0.0000 0.0000 0.5000
N 0.3333 0.6667 0.2502
N 0.3333 0.6667 0.7498

Output
Final energy = -9.14 eV per atom
Space group = P-6m2 (187)
Calculated volume = 106.7 Å³/f.u.
Calculated density = 7199 kg/m³

---

No. 6
The following is a GGA-PBE calculation of Sc4Nb2P3N3 after structural relaxation, from OQMD via LeMat-Bulk.

a = 5.7236 Å, b = 5.7236 Å, c = 12.3178 Å
α = 103.32°, β = 103.32°, γ = 60.38°
Element x y z (fractional)
Sc 0.0355 0.2000 0.1031
Sc 0.1298 0.2993 0.3970
Sc 0.2000 0.0355 0.6031
Sc 0.2993 0.1298 0.8970
Sc 0.7007 0.8702 0.1030
Sc 0.8000 0.9645 0.3969
Sc 0.8702 0.7007 0.6030
Sc 0.9645 0.8000 0.8969
Nb 0.3675 0.5335 0.0977
Nb 0.4665 0.6325 0.4023
Nb 0.5335 0.3675 0.5977
Nb 0.6325 0.4665 0.9023
P 0.0967 0.9033 0.2500
P 0.2621 0.4165 0.7505
P 0.4165 0.2621 0.2505
P 0.5835 0.7379 0.7495
P 0.7379 0.5835 0.2495
P 0.9033 0.0967 0.7500
N 0.0000 0.5000 0.0000
N 0.1614 0.6694 0.5002
N 0.3306 0.8386 0.9998
N 0.5000 0.0000 0.5000
N 0.6694 0.1614 0.0002
N 0.8386 0.3306 0.4998

Output
Final energy = -8.56 eV per atom
Space group = C2/c (15)
Calculated volume = 169.0 Å³/f.u.
Calculated density = 4917 kg/m³